1.
A plane-wave DFT calculation with PBE was carried out for a relaxed structure of CeGeBr6.

extended XYZ file:
```
8
Lattice="3.4883 -6.4968 0.0000 3.4883 6.4968 0.0000 -2.0266 0.0000 6.6708" Properties=species:S:1:pos:R:3 pbc="T T T"
Ce 0.0000 0.0000 0.0000
Ge 2.4750 0.0000 3.3354
Br 1.2472 1.8884 1.6801
Br 0.2072 0.0000 5.0098
Br 1.2472 -1.8884 1.6801
Br 3.7027 1.8884 4.9907
Br 4.7427 0.0000 1.6610
Br 3.7027 -1.8884 4.9907
```

Computed properties:
magnetization	0.0000	μB/atom
space group	C2/m
raw total energy	-3.75	eV per atom

2.
A plane-wave DFT calculation with PBE was carried out for a relaxed structure of SmTaSi2.

extended XYZ file:
```
4
Lattice="1.9434 1.1220 6.3561 -1.9434 1.1220 6.3561 0.0000 -2.2441 6.3561" Properties=species:S:1:pos:R:3 pbc="T T T"
Sm 0.0000 0.0000 0.0000
Ta 0.0000 0.0000 9.5341
Si 0.0000 0.0000 4.5179
Si 0.0000 0.0000 14.5503
```

Computed properties:
density of states at the Fermi level	0.90	states/eV/cell
magnetization	0.0000	μB/atom
space group	R-3m
raw total energy	-7.24	eV per atom

3.
A plane-wave DFT calculation with PBE was carried out for a relaxed structure of PmSm3Er2.

extended XYZ file:
```
12
Lattice="6.4837 0.0000 0.0000 -2.6300 5.9320 0.0000 -0.9502 -1.4794 10.2570" Properties=species:S:1:pos:R:3 pbc="T T T"
Pm -0.6600 1.4806 2.7218
Pm 3.5634 2.9719 7.5351
Sm -1.9725 4.4542 0.8513
Sm 0.3213 2.9609 5.9992
Sm 1.6223 -0.0078 7.5582
Sm 1.2811 4.4604 2.6988
Sm 2.5821 1.4917 4.2578
Sm 4.8759 -0.0017 9.4057
Er -1.9571 4.4564 4.2669
Er 0.3199 2.9689 9.3991
Er 2.5835 1.4837 0.8579
Er 4.8605 -0.0038 5.9901
```

Computed properties:
density of states at the Fermi level	18.85	states/eV/cell
energy above the lowest structure with this stoichiometry	36	meV per atom
formation energy from the elements	0.05	eV per atom
magnetization	0.0000	μB/atom
space group	P-1
raw total energy	-4.62	eV per atom

4.
A plane-wave DFT calculation with PBE was carried out for a relaxed structure of RbTlAg2.

extended XYZ file:
```
8
Lattice="2.4902 -6.6588 0.0000 2.4902 6.6588 0.0000 0.0000 0.0000 8.2262" Properties=species:S:1:pos:R:3 pbc="T T T"
Rb 2.4902 5.9294 6.1697
Rb 2.4902 -5.9294 2.0566
Tl 2.4902 2.1380 6.1697
Tl 2.4902 -2.1380 2.0566
Ag 2.4902 3.4457 0.6609
Ag 2.4902 3.4457 3.4522
Ag 2.4902 -3.4457 4.7740
Ag 2.4902 -3.4457 7.5653
```

Computed properties:
density of states at the Fermi level	3.64	states/eV/cell
energy above the lowest structure with this stoichiometry	0	meV per atom
formation energy from the elements	0.02	eV per atom
magnetization	0.0000	μB/atom
space group	Cmcm
raw total energy	-2.24	eV per atom

5.
A plane-wave DFT calculation with PBE was carried out for a relaxed structure of AgHgSe2.

extended XYZ file:
```
4
Lattice="2.9363 0.0000 0.0000 0.0000 2.9363 0.0000 0.0000 0.0000 10.9072" Properties=species:S:1:pos:R:3 pbc="T T T"
Ag 0.0000 0.0000 0.0000
Hg 0.0000 0.0000 5.4536
Se 1.4682 1.4682 2.1917
Se 1.4682 1.4682 8.7155
```

Computed properties:
density of states at the Fermi level	1.92	states/eV/cell
magnetization	0.0000	μB/atom
space group	P4/mmm
raw total energy	-2.38	eV per atom

6.
A plane-wave DFT calculation with PBE was carried out for a relaxed structure of CaRe2Ge2.

extended XYZ file:
```
10
Lattice="7.5555 0.0000 0.0000 0.0000 7.5555 0.0000 0.0000 0.0000 2.9601" Properties=species:S:1:pos:R:3 pbc="T T T"
Ca 0.0000 0.0000 0.0000
Ca 3.7777 3.7777 0.0000
Re 1.0550 2.7228 1.4800
Re 2.7228 6.5005 1.4800
Re 4.8327 1.0550 1.4800
Re 6.5005 4.8327 1.4800
Ge 1.1251 4.9028 0.0000
Ge 2.6526 1.1251 0.0000
Ge 4.9028 6.4304 0.0000
Ge 6.4304 2.6526 0.0000
```

Computed properties:
density of states at the Fermi level	6.25	states/eV/cell
formation energy from the elements	0.14	eV per atom
magnetization	0.0000	μB/atom
space group	P4/mbm
raw total energy	-7.09	eV per atom

7.
A plane-wave DFT calculation with PBE was carried out for a relaxed structure of Pm2Pr6NdSc.

extended XYZ file:
```
10
Lattice="5.8442 -3.4818 0.0000 5.8442 3.4818 0.0000 -2.0295 0.0000 8.6794" Properties=species:S:1:pos:R:3 pbc="T T T"
Pm 0.7207 0.0000 1.3846
Pm 8.9382 0.0000 7.2948
Pr 3.4645 1.7804 1.7217
Pr 3.2098 0.0000 5.2037
Pr 6.1944 1.7804 6.9577
Pr 3.4645 -1.7804 1.7217
Pr 6.4491 0.0000 3.4757
Pr 6.1944 -1.7804 6.9577
Nd -1.0148 0.0000 4.3397
Sc 5.8442 0.0000 0.0000
```

Computed properties:
density of states at the Fermi level	18.71	states/eV/cell
formation energy from the elements	0.23	eV per atom
magnetization	0.0002	μB/atom
space group	C2/m
raw total energy	-4.70	eV per atom

8.
A plane-wave DFT calculation with PBE was carried out for a relaxed structure of Sr2Br.

extended XYZ file:
```
12
Lattice="8.6342 0.0000 0.0000 0.0000 4.1712 0.0000 0.0000 0.0000 14.8624" Properties=species:S:1:pos:R:3 pbc="T T T"
Sr 0.0708 1.0428 3.6941
Sr 1.8782 1.0428 14.3593
Sr 2.4388 3.1284 6.9282
Sr 4.2463 3.1284 11.1253
Sr 4.3879 1.0428 3.7370
Sr 6.1953 1.0428 7.9342
Sr 6.7559 3.1284 0.5030
Sr 8.5633 3.1284 11.1682
Br 0.7885 1.0428 8.8006
Br 3.5286 3.1284 1.3695
Br 5.1056 1.0428 13.4929
Br 7.8456 3.1284 6.0617
```

Computed properties:
density of states at the Fermi level	10.44	states/eV/cell
energy above the lowest structure with this stoichiometry	58	meV per atom
magnetization	0.0000	μB/atom
space group	Pnma
raw total energy	-2.58	eV per atom

9.
A plane-wave DFT calculation with PBE was carried out for a relaxed structure of Sm12MgCo6.

extended XYZ file:
```
19
Lattice="-4.9572 4.9572 4.9572 4.9572 -4.9572 4.9572 4.9572 4.9572 -4.9572" Properties=species:S:1:pos:R:3 pbc="T T T"
Sm 4.9572 -1.9147 3.0261
Sm 3.0426 1.9312 0.0000
Sm 6.8719 1.9312 0.0000
Sm 3.0261 4.9572 -1.9147
Sm 1.9312 0.0000 3.0426
Sm 4.9572 1.9147 3.0261
Sm 0.0000 3.0426 1.9312
Sm 3.0261 4.9572 1.9147
Sm 1.9312 0.0000 6.8719
Sm -1.9147 3.0261 4.9572
Sm 1.9147 3.0261 4.9572
Sm 0.0000 6.8719 1.9312
Mg 0.0000 0.0000 0.0000
Co 4.9572 0.0000 1.1049
Co 4.9572 3.8523 0.0000
Co 1.1049 4.9572 0.0000
Co 3.8523 0.0000 4.9572
Co 0.0000 1.1049 4.9572
Co 0.0000 4.9572 3.8523
```

Computed properties:
density of states at the Fermi level	15.92	states/eV/cell
formation energy from the elements	-0.12	eV per atom
magnetization	0.0000	μB/atom
space group	Im-3
raw total energy	-5.43	eV per atom

10.
A plane-wave DFT calculation with PBE was carried out for a relaxed structure of Ac2CeF8.

extended XYZ file:
```
11
Lattice="7.6069 -2.0463 0.0000 7.6069 2.0463 0.0000 -2.3485 0.0000 5.6495" Properties=species:S:1:pos:R:3 pbc="T T T"
Ac 2.1949 0.0000 0.9645
Ac 10.6703 0.0000 4.6850
Ce 6.4326 0.0000 2.8248
F -0.2056 0.0000 1.5663
F 1.4153 0.0000 4.6485
F 3.7219 0.0000 3.0813
F 6.0452 0.0000 0.3557
F 6.8199 0.0000 5.2938
F 9.1433 0.0000 2.5682
F 11.4498 0.0000 1.0011
F 13.0708 0.0000 4.0832
```

Computed properties:
density of states at the Fermi level	10.36	states/eV/cell
energy above the lowest structure with this stoichiometry	0	meV per atom
magnetization	0.1797	μB/atom
space group	C2/m
raw total energy	-6.57	eV per atom

11.
A plane-wave DFT calculation with PBE was carried out for a relaxed structure of Pr2SmEr4Sc.

extended XYZ file:
```
8
Lattice="5.0276 0.0000 0.0000 0.0000 5.0276 0.0000 0.0000 0.0000 9.9724" Properties=species:S:1:pos:R:3 pbc="T T T"
Pr 0.0000 0.0000 0.0000
Pr 2.5138 2.5138 4.9862
Sm 0.0000 0.0000 4.9862
Er 0.0000 2.5138 2.4351
Er 0.0000 2.5138 7.5372
Er 2.5138 0.0000 2.4351
Er 2.5138 0.0000 7.5372
Sc 2.5138 2.5138 0.0000
```

Computed properties:
density of states at the Fermi level	12.06	states/eV/cell
formation energy from the elements	0.04	eV per atom
magnetization	0.0000	μB/atom
space group	P4/mmm
raw total energy	-4.82	eV per atom

12.
A plane-wave DFT calculation with PBE was carried out for a relaxed structure of LiAg2Au6.

extended XYZ file:
```
9
Lattice="7.1492 -3.9478 0.0000 7.1492 3.9478 0.0000 -0.0131 0.0000 2.8702" Properties=species:S:1:pos:R:3 pbc="T T T"
Li 0.0000 0.0000 0.0000
Ag 4.5055 0.0000 1.4403
Ag 9.7798 0.0000 1.4298
Au 4.8753 2.5392 2.8667
Au 7.1427 1.4539 1.4351
Au 9.4100 2.5392 0.0035
Au 4.8753 -2.5392 2.8667
Au 7.1427 -1.4539 1.4351
Au 9.4100 -2.5392 0.0035
```

Computed properties:
density of states at the Fermi level	1.09	states/eV/cell
energy above the lowest structure with this stoichiometry	29	meV per atom
formation energy from the elements	-0.12	eV per atom
magnetization	0.0000	μB/atom
space group	C2/m
raw total energy	-3.16	eV per atom

What is the raw total energy in the second record?
-7.24 eV per atom

The highest raw total energy belongs to which entry?
RbTlAg2